Entry 1:
Computed, not measured: a PBEsol-optimized structure of ErAgW2O8 at the SCAN level of DFT.

a b c (Å): 9.813 10.647 7.130
angles (deg): 90.00 127.21 90.00
Space group C2/m (No. 12)
Symmetry-distinct sites (fractional):
Er (0.000, 0.193, 0.000) x4
Ag (0.184, 0.000, 0.521) x4
W (0.000, 0.334, 0.500) x4
W (0.210, 0.500, 0.976) x4
O (0.024, 0.500, 0.339) x4
O (0.049, 0.233, 0.349) x8
O (0.053, 0.000, 0.859) x4
O (0.170, 0.368, 0.091) x8
O (0.228, 0.376, 0.759) x8

The calculation puts the volume at 12.4 Å³ per atom. For the density of states at the Fermi level, the calculation gives 0.000 states/eV/cell. The value obtained for the total energy is -25.01 eV per atom.

Entry 2:
Computed, not measured: a PBEsol-optimized structure of AlNi2Ag at the SCAN level of DFT.

a b c (Å): 2.729 3.375 5.512
angles (deg): 90.00 90.00 90.00
Space group Pmm2 (No. 25)
Symmetry-distinct sites (fractional):
Al (0.000, 0.000, 0.000) x1
Ni (0.000, 0.000, 0.438) x1
Ni (0.500, 0.500, 0.213) x1
Ag (0.500, 0.500, 0.705) x1

The calculation puts the volume at 12.7 Å³ per atom. The formation energy is -122.6 meV per atom. For the density of states at the Fermi level, the calculation gives 2.531 states/eV/cell. The value obtained for the total energy is -17.99 eV per atom.

Entry 3:
Computed, not measured: a PBEsol-optimized structure of CuAg3Pb at the SCAN level of DFT.

a b c (Å): 4.742 4.742 4.742
angles (deg): 90.00 90.00 90.00
Space group Pm-3m (No. 221)
Symmetry-distinct sites (fractional):
Cu (0.000, 0.000, 0.000) x1
Ag (0.000, 0.000, 0.500) x3
Pb (0.500, 0.500, 0.500) x1

The calculation puts the volume at 21.3 Å³ per atom. The formation energy is 463.9 meV per atom. For the density of states at the Fermi level, the calculation gives 1.296 states/eV/cell. The value obtained for the total energy is -36.55 eV per atom.

Entry 4:
Computed, not measured: a PBEsol-optimized structure of Zn3Se at the SCAN level of DFT.

a b c (Å): 3.597 3.597 11.060
angles (deg): 90.00 90.00 90.00
Space group I4/mmm (No. 139)
Symmetry-distinct sites (fractional):
Zn (0.000, 0.000, 0.000) x2
Zn (0.000, 0.500, 0.250) x4
Se (0.000, 0.000, 0.500) x2

The calculation puts the volume at 17.9 Å³ per atom. For the density of states at the Fermi level, the calculation gives 1.950 states/eV/cell. The value obtained for the total energy is -15.08 eV per atom.

Repeat the fourth record exactly.
Computed, not measured: a PBEsol-optimized structure of Zn3Se at the SCAN level of DFT.

a b c (Å): 3.597 3.597 11.060
angles (deg): 90.00 90.00 90.00
Space group I4/mmm (No. 139)
Symmetry-distinct sites (fractional):
Zn (0.000, 0.000, 0.000) x2
Zn (0.000, 0.500, 0.250) x4
Se (0.000, 0.000, 0.500) x2

The calculation puts the volume at 17.9 Å³ per atom. For the density of states at the Fermi level, the calculation gives 1.950 states/eV/cell. The value obtained for the total energy is -15.08 eV per atom.

- Look up the volume of the fourth one.
  17.9 Å³ per atom

- Which of these has the lowest volume?
  ErAgW2O8

- What is the volume in the fourth record?
  17.9 Å³ per atom